A relaxed PuAl3Ga crystal. Source: Alexandria via LeMat-Bulk, functional PBE.

```
PuAl3Ga
1.0
4.543 0.000 0.000
0.000 5.660 0.000
-2.271 0.000 7.558
Pu Al Ga
2 6 2
Direct
0.914 0.750 0.828
0.086 0.250 0.172
0.702 0.006 0.405
0.298 0.994 0.595
0.298 0.506 0.595
0.702 0.494 0.405
0.141 0.750 0.281
0.859 0.250 0.719
0.545 0.750 0.091
0.455 0.250 0.909
```

Computed properties:
- ΔE to the lowest computed polymorph (meV/atom) = 80.0
- calculated total energy (eV per cell) = -58.8
- formation energy (eV per atom) = -0.166
- density of states at the Fermi level (states/eV/atom) = 1.673
- size of the total moment (μB/atom) = 1.135



A relaxed Pu2AlGa4 crystal. Source: Alexandria via LeMat-Bulk, functional PBE.

```
Pu2AlGa4
1.0
9.918 0.000 0.000
0.000 5.075 -2.349
0.000 -0.319 5.969
Al Ga Pu
2 8 4
Direct
0.000 0.000 0.000
0.500 0.500 0.000
0.750 0.750 0.000
0.750 0.500 0.500
0.750 0.000 0.500
0.750 0.250 0.000
0.250 0.750 0.000
0.250 0.000 0.500
0.250 0.500 0.500
0.250 0.250 0.000
0.000 0.640 0.281
0.000 0.360 0.719
0.500 0.860 0.719
0.500 0.140 0.281
```

Computed properties:
- calculated total energy (eV per cell) = -90.7
- formation energy (eV per atom) = -0.116
- density of states at the Fermi level (states/eV/atom) = 2.208
- size of the total moment (μB/atom) = 1.648



A relaxed Pu2Al3Ga crystal. Source: Alexandria via LeMat-Bulk, functional PBE.

```
Pu2Al3Ga
1.0
4.878 -0.150 -2.561
-3.104 4.549 -0.232
-0.208 0.139 5.510
Pu Al Ga
2 3 1
Direct
0.752 0.375 0.127
0.248 0.625 0.873
0.500 0.500 0.500
0.000 0.000 0.500
0.500 0.000 0.500
0.000 0.000 0.000
```

Computed properties:
- ΔE to the lowest computed polymorph (meV/atom) = 0.0
- calculated total energy (eV per cell) = -45.1
- formation energy (eV per atom) = -0.364
- density of states at the Fermi level (states/eV/atom) = 1.967
- size of the total moment (μB/atom) = 1.858



A relaxed Pu3Al2Ga3 crystal. Source: Alexandria via LeMat-Bulk, functional PBE.

```
Pu3Al2Ga3
1.0
4.289 0.000 0.000
0.000 4.444 0.000
-2.144 -2.222 8.630
Pu Al Ga
3 2 3
Direct
0.625 0.625 0.250
0.375 0.375 0.750
0.500 0.000 0.000
0.748 0.248 0.496
0.252 0.752 0.504
0.145 0.145 0.290
0.000 0.500 0.000
0.855 0.855 0.710
```

Computed properties:
- calculated total energy (eV per cell) = -61.5
- formation energy (eV per atom) = -0.237
- density of states at the Fermi level (states/eV/atom) = 2.551
- size of the total moment (μB/atom) = 2.140